Entry 1:
# Pa3Ta2N8 | Alexandria via LeMat-Bulk | PBE | relaxed
# Energy: -10.398 eV/atom
# Size of the total moment: 0.00 μB/cell
# Symmetry: C2/m, No. 12
data_Pa3Ta2N8
_cell_length_a 5.853
_cell_length_b 5.853
_cell_length_c 6.065
_cell_angle_alpha 107.30
_cell_angle_beta 107.30
_cell_angle_gamma 76.26
_space_group_name_H-M_alt 'P 1'
_space_group_IT_number 1
loop_
_space_group_symop_operation_xyz
'x,y,z'
loop_
_atom_site_label
_atom_site_fract_x
_atom_site_fract_y
_atom_site_fract_z
Pa1 0.000 0.000 0.000
Pa2 0.262 0.738 0.500
Pa3 0.738 0.262 0.500
Ta1 0.341 0.341 0.843
Ta2 0.659 0.659 0.157
N1 0.096 0.625 0.742
N2 0.105 0.105 0.726
N3 0.375 0.904 0.258
N4 0.421 0.421 0.196
N5 0.579 0.579 0.804
N6 0.625 0.096 0.742
N7 0.895 0.895 0.274
N8 0.904 0.375 0.258


Entry 2:
# Hf2HPdW | Alexandria via LeMat-Bulk | PBE | relaxed
# Energy: -8.537 eV/atom
# Size of the total moment: 0.00 μB/cell
# Symmetry: P4/mmm, No. 123
data_Hf2HPdW
_cell_length_a 4.624
_cell_length_b 4.624
_cell_length_c 3.554
_cell_angle_alpha 90.00
_cell_angle_beta 90.00
_cell_angle_gamma 90.00
_space_group_name_H-M_alt 'P 1'
_space_group_IT_number 1
loop_
_space_group_symop_operation_xyz
'x,y,z'
loop_
_atom_site_label
_atom_site_fract_x
_atom_site_fract_y
_atom_site_fract_z
Hf1 0.000 0.500 0.000
Hf2 0.500 0.000 0.000
H1 0.000 0.000 0.000
Pd1 0.500 0.500 0.500
W1 0.000 0.000 0.500


Entry 3:
# CsTe2NO | Alexandria via LeMat-Bulk | PBE | relaxed
# Energy: -3.500 eV/atom
# Size of the total moment: 2.74 μB/cell
# Symmetry: P4/mmm, No. 123
data_CsTe2NO
_cell_length_a 4.586
_cell_length_b 4.586
_cell_length_c 6.909
_cell_angle_alpha 90.00
_cell_angle_beta 90.00
_cell_angle_gamma 90.00
_space_group_name_H-M_alt 'P 1'
_space_group_IT_number 1
loop_
_space_group_symop_operation_xyz
'x,y,z'
loop_
_atom_site_label
_atom_site_fract_x
_atom_site_fract_y
_atom_site_fract_z
Cs1 0.000 0.000 0.000
Te1 0.000 0.500 0.500
Te2 0.500 0.000 0.500
N1 0.500 0.500 0.000
O1 0.500 0.500 0.500


Entry 4:
# Er7In2Pb2 | Alexandria via LeMat-Bulk | PBE | relaxed
# Energy: -4.163 eV/atom
# Size of the total moment: 0.01 μB/cell
# Symmetry: Cmmm, No. 65
data_Er7In2Pb2
_cell_length_a 6.827
_cell_length_b 6.827
_cell_length_c 7.726
_cell_angle_alpha 90.00
_cell_angle_beta 90.00
_cell_angle_gamma 108.02
_space_group_name_H-M_alt 'P 1'
_space_group_IT_number 1
loop_
_space_group_symop_operation_xyz
'x,y,z'
loop_
_atom_site_label
_atom_site_fract_x
_atom_site_fract_y
_atom_site_fract_z
Er1 0.000 0.000 0.000
Er2 0.000 0.500 0.289
Er3 0.000 0.500 0.711
Er4 0.500 0.000 0.289
Er5 0.500 0.000 0.711
Er6 0.500 0.500 0.275
Er7 0.500 0.500 0.725
In1 0.177 0.177 0.500
In2 0.823 0.823 0.500
Pb1 0.296 0.704 0.000
Pb2 0.704 0.296 0.000